Entry 1:
A plane-wave DFT calculation with GGA-PBE was carried out for a relaxed Pu3Bi2 crystal.

Cell: 7.474 7.474 7.474 Å, 67.94 67.94 67.94°
Fractional coordinates of all 10 atoms:
Pu: 0.004 0.750 0.496
Pu: 0.250 0.504 0.996
Pu: 0.496 0.004 0.750
Pu: 0.504 0.996 0.250
Pu: 0.750 0.496 0.004
Pu: 0.996 0.250 0.504
Bi: 0.105 0.105 0.105
Bi: 0.395 0.395 0.395
Bi: 0.605 0.605 0.605
Bi: 0.895 0.895 0.895

Values from the calculation:
* E above lowest polymorph: 0.203 eV per atom
* ΔH_f (0 K): -25 meV per atom

Entry 2:
A plane-wave DFT calculation with GGA-PBE was carried out for a relaxed ErTl2PdO6 crystal.

Cell: 5.952 5.952 5.952 Å, 57.15 57.15 57.15°
Fractional coordinates of all 10 atoms:
Er: 0.000 0.000 0.000
Tl: 0.265 0.265 0.265
Tl: 0.781 0.781 0.781
Pd: 0.491 0.491 0.491
O: 0.134 0.708 0.376
O: 0.231 0.624 0.838
O: 0.376 0.134 0.708
O: 0.624 0.838 0.231
O: 0.708 0.376 0.134
O: 0.838 0.231 0.624

Values from the calculation:
* ΔE_f (raw): -1.2341 eV/atom

Entry 3:
A plane-wave DFT calculation with GGA-PBE was carried out for a relaxed Zn3BSe crystal.

Cell: 4.297 4.297 4.297 Å, 90.00 90.00 90.00°
Fractional coordinates of all 5 atoms:
Zn: 0.000 0.000 0.500
Zn: 0.000 0.500 0.000
Zn: 0.500 0.000 0.000
B: 0.000 0.000 0.000
Se: 0.500 0.500 0.500

Values from the calculation:
* ΔE_f (raw): 0.2350 eV/atom
* E above lowest polymorph: 0.000 eV per atom

Entry 4:
A plane-wave DFT calculation with GGA-PBE was carried out for a relaxed Ca3TlPd8 crystal.

Cell: 9.453 9.453 9.453 Å, 33.50 33.50 33.50°
Fractional coordinates of all 12 atoms:
Ca: 0.000 0.000 0.000
Ca: 0.128 0.128 0.128
Ca: 0.620 0.620 0.620
Tl: 0.498 0.498 0.498
Pd: 0.062 0.062 0.563
Pd: 0.062 0.561 0.561
Pd: 0.062 0.563 0.062
Pd: 0.312 0.312 0.312
Pd: 0.561 0.062 0.561
Pd: 0.561 0.561 0.062
Pd: 0.563 0.062 0.062
Pd: 0.812 0.812 0.812

Values from the calculation:
* ΔH_f (0 K): -591 meV per atom

Entry 5:
A plane-wave DFT calculation with GGA-PBE was carried out for a relaxed CrBiTe2I crystal.

Cell: 5.102 5.102 5.470 Å, 90.00 90.00 90.00°
Fractional coordinates of all 5 atoms:
Cr: 0.000 0.000 0.000
Bi: 0.500 0.500 0.500
Te: 0.000 0.500 0.000
Te: 0.500 0.000 0.000
I: 0.000 0.000 0.500

Values from the calculation:
* ΔE_f (raw): 0.4305 eV/atom
* E above lowest polymorph: 0.000 eV per atom

Entry 6:
A plane-wave DFT calculation with GGA-PBE was carried out for a relaxed NbCu5Pd8 crystal.

Cell: 6.511 6.511 6.511 Å, 110.09 110.09 108.23°
Fractional coordinates of all 14 atoms:
Nb: 0.000 0.000 0.000
Cu: 0.048 0.455 0.830
Cu: 0.250 0.750 0.500
Cu: 0.545 0.375 0.593
Cu: 0.625 0.218 0.170
Cu: 0.782 0.952 0.407
Pd: 0.089 0.315 0.422
Pd: 0.262 0.162 0.765
Pd: 0.332 0.911 0.226
Pd: 0.397 0.497 0.235
Pd: 0.503 0.738 0.900
Pd: 0.685 0.107 0.774
Pd: 0.838 0.603 0.100
Pd: 0.893 0.668 0.578

Values from the calculation:
* ΔH_f (0 K): -6 meV per atom

| no. | size of the total moment (Bohr magnetons per cell) | total energy (Ry/atom) |
| --- | --- | --- |
| 1 | 36.0 | -0.7480 |
| 2 | 0.0 | -0.4158 |
| 3 | 0.0 | -0.1883 |
| 4 | 0.0 | -0.3491 |
| 5 | 0.0 | -0.2820 |
| 6 | 0.0 | -0.3790 |